Entry 1:
# SrLiTa2 (SCAN, single point on PBEsol structure)
# **Crystal system**: orthorhombic
# **N(E_F)**: 0.9138 states/eV per atom
# **Energy**: -38.505 eV per atom
# **Calculated volume**: 163.1 Å³ per cell
data_SrLiTa2
_symmetry_space_group_name_H-M 'C m m m'
_symmetry_Int_Tables_number 65
_symmetry_space_group_name_Hall '-C 2 2'
_cell_length_a 3.260
_cell_length_b 4.547
_cell_length_c 11.004
_cell_angle_alpha 90.00
_cell_angle_beta 90.00
_cell_angle_gamma 90.00
loop_
_atom_site_label
_atom_site_fract_x
_atom_site_fract_y
_atom_site_fract_z
Sr1 0.000 0.000 0.000
Li1 0.000 0.000 0.500
Ta1 0.000 0.500 0.268

---

Entry 2:
# Sr2LiTa (SCAN, single point on PBEsol structure)
# **Crystal system**: tetragonal
# **N(E_F)**: 0.5730 states/eV per atom
# **Energy**: -27.407 eV per atom
# **Calculated volume**: 245.4 Å³ per cell
data_Sr2LiTa
_symmetry_space_group_name_H-M 'I -4 m 2'
_symmetry_Int_Tables_number 119
_symmetry_space_group_name_Hall 'I -4 -2'
_cell_length_a 4.831
_cell_length_b 4.831
_cell_length_c 10.515
_cell_angle_alpha 90.00
_cell_angle_beta 90.00
_cell_angle_gamma 90.00
loop_
_atom_site_label
_atom_site_fract_x
_atom_site_fract_y
_atom_site_fract_z
Sr1 0.000 0.000 0.000
Sr2 0.000 0.500 0.250
Li1 0.000 0.500 0.750
Ta1 0.000 0.000 0.500

---

What is the calculated volume in the first record?
163.1 Å³ per cell

---

Among the records above, which one has the lowest energy?
SrLiTa2

---

calculated volume of number 2 (Sr2LiTa)?
245.4 Å³ per cell